# 1
GGA-PBE Si3Hg, relaxed; DOS at the Fermi energy = 3.5 states/eV per cell; formation energy (no corrections) = 3.11 eV per formula unit; magnetic moment = 0.000 μB/atom; distance to the lowest polymorph of the same formula = 376.2 meV per atom
1.0
5.291 0.000 0.000
0.000 5.291 0.000
0.000 0.000 5.291
Si Hg
6 2
direct
0.000 0.250 0.500
0.000 0.750 0.500
0.250 0.500 0.000
0.500 0.000 0.250
0.500 0.000 0.750
0.750 0.500 0.000
0.000 0.000 0.000
0.500 0.500 0.500

***

# 2
GGA-PBE YCrAu, relaxed; DOS at the Fermi energy = 2.9 states/eV per cell; energy of formation = 0.432 eV/atom; magnetic moment = 1.487 μB/atom; distance to the lowest polymorph of the same formula = 538.6 meV per atom
1.0
0.000 3.376 3.376
3.376 0.000 3.376
3.376 3.376 0.000
Y Cr Au
1 1 1
direct
0.000 0.000 0.000
0.250 0.250 0.250
0.750 0.750 0.750

***

# 3
GGA-PBE Cs2K3AgBr6, relaxed; DOS at the Fermi energy = 0.0 states/eV per cell; formation energy (no corrections) = -17.85 eV per formula unit; magnetic moment = 0.000 μB/atom
1.0
4.255 -7.216 0.000
4.255 7.216 0.000
-2.525 0.000 7.969
Cs K Ag Br
2 3 1 6
direct
0.175 0.825 0.000
0.825 0.175 0.000
0.000 0.000 0.500
0.334 0.666 0.500
0.666 0.334 0.500
0.500 0.500 0.000
0.074 0.397 0.715
0.319 0.319 0.203
0.397 0.074 0.715
0.603 0.926 0.285
0.681 0.681 0.797
0.926 0.603 0.285

***

# 4
GGA-PBE K2Ga3SbAu4, relaxed; DOS at the Fermi energy = 2.3 states/eV per cell; formation energy (no corrections) = -3.21 eV per formula unit; magnetic moment = 0.000 μB/atom
1.0
4.776 0.000 0.000
0.000 4.776 0.000
0.000 0.000 10.552
K Ga Sb Au
2 3 1 4
direct
0.000 0.500 0.243
0.500 0.000 0.757
0.000 0.500 0.887
0.500 0.000 0.113
0.500 0.500 0.500
0.000 0.000 0.500
0.000 0.000 0.000
0.000 0.500 0.640
0.500 0.000 0.360
0.500 0.500 0.000

***

# 5
GGA-PBE Sr2TcPOs, relaxed; DOS at the Fermi energy = 4.4 states/eV per cell; energy of formation = 0.657 eV/atom; magnetic moment = 0.774 μB/atom
1.0
5.762 0.000 0.000
0.000 5.762 0.000
0.000 0.000 4.344
Sr Tc P Os
2 1 1 1
direct
0.000 0.500 0.000
0.500 0.000 0.000
0.000 0.000 0.500
0.500 0.500 0.000
0.500 0.500 0.500

***

# 6
GGA-PBE RbIr, relaxed; DOS at the Fermi energy = 4.7 states/eV per cell; energy of formation = 2.163 eV/atom; magnetic moment = 1.000 μB/atom; distance to the lowest polymorph of the same formula = 1786.5 meV per atom
1.0
0.000 3.567 3.567
3.567 0.000 3.567
3.567 3.567 0.000
Rb Ir
1 1
direct
0.000 0.000 0.000
0.500 0.500 0.500

***

Number 1: theoretical density 6.4 Mg/m³. Number 2: theoretical density 7.3 Mg/m³. Number 3: theoretical density 3.3 Mg/m³. Number 4: theoretical density 8.3 Mg/m³. Number 5: theoretical density 5.7 Mg/m³. Number 6: theoretical density 5.1 Mg/m³.